(1)
# K2PbCl (SCAN, single point on PBEsol structure)
data_K2PbCl
_space_group_name_H-M_alt 'P 1'
_space_group_IT_number 1
_cell_length_a 3.424
_cell_length_b 6.181
_cell_length_c 6.181
_cell_angle_alpha 90.00
_cell_angle_beta 90.00
_cell_angle_gamma 90.00
loop_
_space_group_symop_operation_xyz
'x,y,z'
loop_
_atom_site_label
_atom_site_fract_x
_atom_site_fract_y
_atom_site_fract_z
_atom_site_occupancy
K1 0.000 0.500 0.000 1
K2 0.000 0.000 0.500 1
Pb1 0.500 0.500 0.500 1
Cl1 0.500 0.000 0.000 1
# symmetry	P4/mmm, No. 123
# polymorph energy (0 for the lowest one)	0.79	eV/f.u.
# magnetic moment	0.00	μB per cell

***

(2)
# K2PbCl2 (SCAN, single point on PBEsol structure)
data_K2PbCl2
_space_group_name_H-M_alt 'P 1'
_space_group_IT_number 1
_cell_length_a 5.290
_cell_length_b 5.290
_cell_length_c 7.597
_cell_angle_alpha 110.38
_cell_angle_beta 110.38
_cell_angle_gamma 90.00
loop_
_space_group_symop_operation_xyz
'x,y,z'
loop_
_atom_site_label
_atom_site_fract_x
_atom_site_fract_y
_atom_site_fract_z
_atom_site_occupancy
Cl1 0.355 0.355 0.710 1
Cl2 0.645 0.645 0.290 1
Pb1 0.000 0.000 0.000 1
K1 0.750 0.250 0.500 1
K2 0.250 0.750 0.500 1
# symmetry	I4/mmm, No. 139
# DFT total energy	-113.73	eV/f.u.
# magnetic moment	2.00	μB per cell